1.
{
  "formula": "ScSi2Sb",
  "functional": "GGA-PBE",
  "state": "relaxed",
  "formation_energy_uncorrected_ev_per_fu": -0.22,
  "final_energy_ev_per_cell": -21.52,
  "m_tot_mub_per_fu": 0.0,
  "lattice": [[5.5503, -0.0291, 0.0000], [2.6551, 4.8742, 0.0000], [-4.1027, -2.4225, 2.8471]],
  "species": ["Sb", "Sc", "Si", "Si"],
  "frac_coords": [[0.2500, 0.7500, 0.5000], [0.7500, 0.2500, 0.5000], [0.0000, 0.0000, 0.0000], [0.5000, 0.5000, 0.0000]]
}


2.
{
  "formula": "ScSi2Sb",
  "functional": "GGA-PBE",
  "state": "relaxed",
  "formation_energy_uncorrected_ev_per_fu": 0.40,
  "final_energy_ev_per_cell": -20.90,
  "m_tot_mub_per_fu": 0.0,
  "lattice": [[-2.8979, -0.2865, 0.9742], [-0.7570, -1.3541, -2.6500], [1.8364, -7.4368, 3.2753]],
  "species": ["Sb", "Sc", "Si", "Si"],
  "frac_coords": [[0.5000, 0.5000, 0.2500], [0.5000, 0.5000, 0.7500], [0.0000, 0.0000, 0.9719], [0.0000, 0.0000, 0.5281]]
}


3.
{
  "formula": "ScSiSb2",
  "functional": "GGA-PBE",
  "state": "relaxed",
  "formation_energy_uncorrected_ev_per_fu": -0.51,
  "final_energy_ev_per_cell": -20.51,
  "m_tot_mub_per_fu": 0.0,
  "lattice": [[3.3071, 0.0287, 0.0000], [-0.6631, 3.2401, 0.0000], [0.0000, 0.0000, 8.8083]],
  "species": ["Sb", "Sb", "Sc", "Si"],
  "frac_coords": [[0.0000, 0.0000, 0.9332], [0.5000, 0.5000, 0.2926], [0.0000, 0.0000, 0.5425], [0.5000, 0.5000, 0.7318]]
}


4.
{
  "formula": "Sc2SiSb",
  "functional": "GGA-PBE",
  "state": "relaxed",
  "formation_energy_uncorrected_ev_per_fu": -2.29,
  "final_energy_ev_per_cell": -24.50,
  "polymorph_energy_ev_per_atom": 0.122,
  "m_tot_mub_per_fu": 0.0,
  "lattice": [[-3.3450, 1.5127, -3.6293], [-4.4334, -1.3851, 2.2529], [3.8292, 3.1966, 1.3297]],
  "species": ["Sb", "Sc", "Sc", "Si"],
  "frac_coords": [[0.2500, 0.7500, 0.5000], [0.9832, 0.9832, 0.0000], [0.5168, 0.5168, 0.0000], [0.7500, 0.2500, 0.5000]]
}


5.
{
  "formula": "YSc2SiSb",
  "functional": "GGA-PBE",
  "state": "relaxed",
  "formation_energy_uncorrected_ev_per_fu": 0.01,
  "final_energy_ev_per_cell": -28.66,
  "m_tot_mub_per_fu": 1.9,
  "lattice": [[5.0115, 0.0000, 0.0000], [0.0000, 5.4157, 0.0000], [0.0000, 0.0000, 5.0115]],
  "species": ["Y", "Sb", "Si", "Sc", "Sc"],
  "frac_coords": [[0.5000, 0.5000, 0.5000], [0.0000, 0.5000, 0.0000], [0.0000, 0.0000, 0.0000], [0.0000, 0.0000, 0.5000], [0.5000, 0.0000, 0.0000]]
}


6.
{
  "formula": "SmSc2Sb",
  "functional": "GGA-PBE",
  "state": "relaxed",
  "formation_energy_uncorrected_ev_per_fu": -2.24,
  "final_energy_ev_per_cell": -47.49,
  "polymorph_energy_ev_per_atom": 0.000,
  "m_tot_mub_per_fu": 0.2,
  "lattice": [[6.1323, -1.2318, 0.0000], [-4.0837, 4.7377, 0.0000], [0.0000, 0.0000, 8.8733]],
  "species": ["Sm", "Sm", "Sc", "Sc", "Sc", "Sc", "Sb", "Sb"],
  "frac_coords": [[0.5518, 0.9482, 0.7500], [0.4482, 0.0518, 0.2500], [0.1372, 0.3628, 0.4546], [0.8628, 0.6372, 0.5454], [0.1372, 0.3628, 0.0454], [0.8628, 0.6372, 0.9546], [0.7365, 0.7635, 0.2500], [0.2635, 0.2365, 0.7500]]
}


7.
{
  "formula": "SmScSb2",
  "functional": "GGA-PBE",
  "state": "relaxed",
  "formation_energy_uncorrected_ev_per_fu": -3.96,
  "final_energy_ev_per_cell": -23.25,
  "polymorph_energy_ev_per_atom": 0.056,
  "m_tot_mub_per_fu": 0.0,
  "lattice": [[-1.8168, 3.8891, -0.1691], [0.3713, -2.3545, -3.5739], [-6.5663, -3.0110, 1.3005]],
  "species": ["Sm", "Sc", "Sb", "Sb"],
  "frac_coords": [[0.0000, 0.5000, 0.5000], [0.0000, 0.5000, 0.0000], [0.6667, 0.8335, 0.7708], [0.3333, 0.1665, 0.2292]]
}


8.
{
  "formula": "SmSc2Sb4",
  "functional": "GGA-PBE",
  "state": "relaxed",
  "formation_energy_uncorrected_ev_per_fu": -5.21,
  "final_energy_ev_per_cell": -78.16,
  "m_tot_mub_per_fu": 0.0,
  "lattice": [[4.2382, 0.0000, 0.0000], [-2.1191, 5.5354, 0.0000], [0.0000, 0.0000, 16.0459]],
  "species": ["Sm", "Sm", "Sc", "Sc", "Sc", "Sc", "Sb", "Sb", "Sb", "Sb", "Sb", "Sb", "Sb", "Sb"],
  "frac_coords": [[0.5645, 0.1290, 0.7500], [0.4355, 0.8710, 0.2500], [0.1534, 0.3067, 0.4247], [0.8466, 0.6933, 0.9247], [0.1534, 0.3067, 0.0753], [0.8466, 0.6933, 0.5753], [0.8403, 0.6805, 0.1132], [0.8403, 0.6805, 0.3868], [0.1597, 0.3195, 0.8868], [0.1597, 0.3195, 0.6132], [0.8528, 0.7055, 0.7500], [0.1472, 0.2945, 0.2500], [0.5000, 0.0000, 0.0000], [0.5000, 0.0000, 0.5000]]
}


9.
{
  "formula": "Sm5Sc2Sb5",
  "functional": "GGA-PBE",
  "state": "relaxed",
  "formation_energy_uncorrected_ev_per_fu": -10.57,
  "final_energy_ev_per_cell": -67.45,
  "m_tot_mub_per_fu": 0.0,
  "lattice": [[-1.7093, 1.3700, 3.7959], [2.3684, -7.0641, 1.0860], [9.4149, 8.0396, 1.3378]],
  "species": ["Sm", "Sm", "Sm", "Sm", "Sm", "Sc", "Sc", "Sb", "Sb", "Sb", "Sb", "Sb"],
  "frac_coords": [[0.5000, 0.0000, 0.5000], [0.6622, 0.3243, 0.0366], [0.7290, 0.4580, 0.3480], [0.2710, 0.5420, 0.6520], [0.3378, 0.6757, 0.9634], [0.0527, 0.1054, 0.7966], [0.9473, 0.8946, 0.2034], [0.1101, 0.2202, 0.4147], [0.6828, 0.3656, 0.7833], [0.3172, 0.6344, 0.2167], [0.8899, 0.7798, 0.5853], [0.0000, 0.0000, 0.0000]]
}


10.
{
  "formula": "Sm3ScSb2",
  "functional": "GGA-PBE",
  "state": "relaxed",
  "formation_energy_uncorrected_ev_per_fu": -3.45,
  "final_energy_ev_per_cell": -64.36,
  "polymorph_energy_ev_per_atom": 0.257,
  "m_tot_mub_per_fu": 0.0,
  "lattice": [[-5.7020, -3.9299, 1.5239], [1.1750, -4.2578, -6.5837], [6.2838, -0.3475, 6.1197]],
  "species": ["Sm", "Sm", "Sm", "Sm", "Sm", "Sm", "Sc", "Sc", "Sb", "Sb", "Sb", "Sb"],
  "frac_coords": [[0.5000, 0.2500, 0.0000], [0.5000, 0.7500, 0.0000], [0.7938, 0.0438, 0.5875], [0.2062, 0.4562, 0.4125], [0.2062, 0.9562, 0.4125], [0.7938, 0.5438, 0.5875], [0.0000, 0.5000, 0.0000], [0.0000, 0.0000, 0.0000], [0.5426, 0.3569, 0.7139], [0.8287, 0.1431, 0.2861], [0.1713, 0.8569, 0.7139], [0.4574, 0.6431, 0.2861]]
}


11.
{
  "formula": "SmScSb2",
  "functional": "GGA-PBE",
  "state": "relaxed",
  "formation_energy_uncorrected_ev_per_fu": -3.83,
  "final_energy_ev_per_cell": -23.13,
  "polymorph_energy_ev_per_atom": 0.087,
  "m_tot_mub_per_fu": 0.0,
  "lattice": [[-2.7429, -2.4734, 2.1881], [1.2168, -1.7990, 3.7030], [-2.8856, 4.4100, 5.5790]],
  "species": ["Sm", "Sc", "Sb", "Sb"],
  "frac_coords": [[0.4980, 0.4980, 0.5061], [0.6690, 0.6690, 0.9931], [0.0752, 0.0752, 0.7745], [0.2579, 0.2579, 0.2263]]
}


12.
{
  "formula": "SmSc2Sb3",
  "functional": "GGA-PBE",
  "state": "relaxed",
  "formation_energy_uncorrected_ev_per_fu": -5.86,
  "final_energy_ev_per_cell": -35.61,
  "m_tot_mub_per_fu": 0.0,
  "lattice": [[4.1851, -0.0010, -0.9534], [-0.2177, 4.1793, -0.9540], [-0.0313, -0.0318, 9.5217]],
  "species": ["Sm", "Sc", "Sc", "Sb", "Sb", "Sb"],
  "frac_coords": [[0.4340, 0.4360, 0.8740], [0.0997, 0.1009, 0.2047], [0.7690, 0.7702, 0.5432], [0.9340, 0.9360, 0.8739], [0.2617, 0.2628, 0.5287], [0.6070, 0.6081, 0.2192]]
}